No. 1
DFT (PBE) results for a relaxed structure of KCuCl2.

Properties
energy above the most stable polymorph in this dataset: 0.15 eV per formula unit
raw formation energy: -1165 meV per atom

Cell and atoms, written as CIF:
```
data_KCuCl2
_cell_length_a 4.3155
_cell_length_b 4.0186
_cell_length_c 6.7171
_cell_angle_alpha 90.00
_cell_angle_beta 92.99
_cell_angle_gamma 90.00
_symmetry_space_group_name_H-M 'P 1 m 1'
_symmetry_Int_Tables_number 6
loop_
_symmetry_equiv_pos_as_xyz
'x,y,z'
'x,-y,z'
loop_
_atom_site_label
_atom_site_fract_x
_atom_site_fract_y
_atom_site_fract_z
K1 0.0000 0.0000 0.0000
Cu1 0.4855 0.5000 0.4880
Cl1 0.4724 0.0000 0.6429
Cl2 0.5115 0.5000 0.1532
```



No. 2
DFT (PBE) results for a relaxed structure of K2TlTe.

Properties
energy above the most stable polymorph in this dataset: 1.00 eV per formula unit
raw formation energy: -332 meV per atom

Cell and atoms, written as CIF:
```
data_K2TlTe
_cell_length_a 5.4517
_cell_length_b 5.4517
_cell_length_c 23.3473
_cell_angle_alpha 90.00
_cell_angle_beta 90.00
_cell_angle_gamma 90.00
_symmetry_space_group_name_H-M 'I -4 2 d'
_symmetry_Int_Tables_number 122
_symmetry_space_group_name_Hall 'I -4 2bw'
loop_
_atom_site_label
_atom_site_fract_x
_atom_site_fract_y
_atom_site_fract_z
K1 0.2244 0.2500 0.1250
Tl1 0.0000 0.0000 0.5000
Te1 0.0000 0.0000 0.0000
```



No. 3
DFT (PBE) results for a relaxed structure of SrPtS.

Properties
raw formation energy: -1160 meV per atom

Cell and atoms, written as CIF:
```
data_SrPtS
_cell_length_a 4.6723
_cell_length_b 4.8553
_cell_length_c 7.3474
_cell_angle_alpha 96.38
_cell_angle_beta 101.31
_cell_angle_gamma 104.31
_symmetry_space_group_name_H-M 'P -1'
_symmetry_Int_Tables_number 2
loop_
_symmetry_equiv_pos_as_xyz
'x,y,z'
'-x,-y,-z'
loop_
_atom_site_label
_atom_site_fract_x
_atom_site_fract_y
_atom_site_fract_z
Sr1 0.0714 0.3169 0.2760
Pt1 0.5000 0.0000 0.5000
Pt2 0.5000 0.5000 0.0000
S1 0.2962 0.2636 0.6955
```



No. 4
DFT (PBE) results for a relaxed structure of RbCeTl.

Properties
energy relative to the elements: -0.2 eV/f.u.

Cell and atoms, written as CIF:
```
data_RbCeTl
_cell_length_a 3.8662
_cell_length_b 4.1255
_cell_length_c 14.8533
_cell_angle_alpha 89.91
_cell_angle_beta 87.40
_cell_angle_gamma 89.98
_symmetry_space_group_name_H-M 'P -1'
_symmetry_Int_Tables_number 2
loop_
_symmetry_equiv_pos_as_xyz
'x,y,z'
'-x,-y,-z'
loop_
_atom_site_label
_atom_site_fract_x
_atom_site_fract_y
_atom_site_fract_z
Rb1 0.2418 0.2519 0.1523
Ce1 0.1667 0.2503 0.4534
Tl1 0.2957 0.2489 0.6753
```



No. 5
DFT (PBE) results for a relaxed structure of AlSiAs2.

Properties
energy above the most stable polymorph in this dataset: 1.29 eV per formula unit
raw formation energy: 274 meV per atom

Cell and atoms, written as CIF:
```
data_AlSiAs2
_cell_length_a 3.6720
_cell_length_b 4.7184
_cell_length_c 8.9564
_cell_angle_alpha 90.00
_cell_angle_beta 90.00
_cell_angle_gamma 90.00
_symmetry_space_group_name_H-M 'C m m 2'
_symmetry_Int_Tables_number 35
loop_
_symmetry_equiv_pos_as_xyz
'x,y,z'
'-x,-y,z'
'-x,y,z'
'x,-y,z'
'x+1/2,y+1/2,z'
'-x+1/2,-y+1/2,z'
'-x+1/2,y+1/2,z'
'x+1/2,-y+1/2,z'
loop_
_atom_site_label
_atom_site_fract_x
_atom_site_fract_y
_atom_site_fract_z
Al1 0.0000 0.0000 0.0000
Si1 0.0000 0.5000 0.7807
As1 0.0000 0.0000 0.5906
As2 0.0000 0.5000 0.2115
```



No. 6
DFT (PBE) results for a relaxed structure of ErZnPdPb.

Properties
energy relative to the elements: -1.8 eV/f.u.

Cell and atoms, written as CIF:
```
data_ErZnPdPb
_cell_length_a 6.9271
_cell_length_b 6.9271
_cell_length_c 6.9271
_cell_angle_alpha 90.00
_cell_angle_beta 90.00
_cell_angle_gamma 90.00
_symmetry_space_group_name_H-M 'F -4 3 m'
_symmetry_Int_Tables_number 216
_symmetry_space_group_name_Hall 'F -4 2 3'
loop_
_atom_site_label
_atom_site_fract_x
_atom_site_fract_y
_atom_site_fract_z
Er1 0.0000 0.0000 0.0000
Zn1 0.2500 0.2500 0.2500
Pd1 0.2500 0.2500 0.7500
Pb1 0.0000 0.0000 0.5000
```



No. 7
DFT (PBE) results for a relaxed structure of KZrBe2.

Properties
energy relative to the elements: 4.8 eV/f.u.
energy above the most stable polymorph in this dataset: 2.94 eV per formula unit

Cell and atoms, written as CIF:
```
data_KZrBe2
_cell_length_a 4.0688
_cell_length_b 4.0688
_cell_length_c 9.2315
_cell_angle_alpha 90.00
_cell_angle_beta 90.00
_cell_angle_gamma 90.00
_symmetry_space_group_name_H-M 'I -4 m 2'
_symmetry_Int_Tables_number 119
_symmetry_space_group_name_Hall 'I -4 -2'
loop_
_atom_site_label
_atom_site_fract_x
_atom_site_fract_y
_atom_site_fract_z
K1 0.0000 0.0000 0.0000
Zr1 0.0000 0.5000 0.7500
Be1 0.0000 0.0000 0.5000
Be2 0.0000 0.5000 0.2500
```



No. 8
DFT (PBE) results for a relaxed structure of AgRh2.

Properties
energy relative to the elements: 0.5 eV/f.u.
energy above the most stable polymorph in this dataset: 0.00 eV per formula unit

Cell and atoms, written as CIF:
```
data_AgRh2
_cell_length_a 2.7645
_cell_length_b 2.7645
_cell_length_c 6.9229
_cell_angle_alpha 90.00
_cell_angle_beta 90.00
_cell_angle_gamma 120.00
_symmetry_space_group_name_H-M 'P -3 m 1'
_symmetry_Int_Tables_number 164
_symmetry_space_group_name_Hall '-P 3 2"'
loop_
_atom_site_label
_atom_site_fract_x
_atom_site_fract_y
_atom_site_fract_z
Ag1 0.0000 0.0000 0.0000
Rh1 0.3333 0.6667 0.6534
```



Number 1: V 116 Å³ per cell. Number 2: V 694 Å³ per cell. Number 3: V 156 Å³ per cell. Number 4: V 237 Å³ per cell. Number 5: V 155 Å³ per cell. Number 6: V 332 Å³ per cell. Number 7: V 153 Å³ per cell. Number 8: V 46 Å³ per cell.